1.
CrHgW2 after structural relaxation, computed with PBE.

Properties
Its formation energy is 573 meV/atom.

Cell lengths 5.263, 5.263, 5.263 Å; angles 144.55, 130.10, 62.69 degrees
Atoms (fractional coordinates):
1 Cr 0.000 0.000 0.000
2 Hg 0.500 0.500 0.000
3 W 0.228 0.728 0.500
4 W 0.772 0.272 0.500



2.
La8PuIr6 after structural relaxation, computed with PBE.

Properties
Its formation energy is -598 meV/atom.

Cell lengths 8.055, 8.055, 8.055 Å; angles 64.02, 64.02, 64.02 degrees
Atoms (fractional coordinates):
1 La 0.067 0.382 0.716
2 La 0.170 0.170 0.170
3 La 0.284 0.933 0.618
4 La 0.382 0.716 0.067
5 La 0.618 0.284 0.933
6 La 0.716 0.067 0.382
7 La 0.830 0.830 0.830
8 La 0.933 0.618 0.284
9 Pu 0.500 0.500 0.500
10 Ir 0.114 0.771 0.445
11 Ir 0.229 0.555 0.886
12 Ir 0.445 0.114 0.771
13 Ir 0.555 0.886 0.229
14 Ir 0.771 0.445 0.114
15 Ir 0.886 0.229 0.555



3.
MgCoCu2 after structural relaxation, computed with PBE.

Properties
Its formation energy is 115 meV/atom.

Cell lengths 4.572, 4.572, 4.528 Å; angles 101.52, 101.52, 34.38 degrees
Atoms (fractional coordinates):
1 Mg 0.000 0.000 0.000
2 Co 0.243 0.243 0.734
3 Cu 0.501 0.501 0.505
4 Cu 0.757 0.757 0.263



4.
NdMgGa2 after structural relaxation, computed with PBE.

Properties
Its formation energy is -509 meV/atom.

Cell lengths 14.306, 4.370, 11.599 Å; angles 90.00, 90.00, 90.00 degrees
Atoms (fractional coordinates):
1 Nd 0.055 0.250 0.238
2 Nd 0.199 0.750 0.957
3 Nd 0.301 0.250 0.457
4 Nd 0.445 0.750 0.738
5 Nd 0.555 0.250 0.262
6 Nd 0.699 0.750 0.543
7 Nd 0.801 0.250 0.043
8 Nd 0.945 0.750 0.762
9 Mg 0.062 0.250 0.550
10 Mg 0.195 0.750 0.658
11 Mg 0.305 0.250 0.158
12 Mg 0.438 0.750 0.050
13 Mg 0.562 0.250 0.950
14 Mg 0.695 0.750 0.842
15 Mg 0.805 0.250 0.342
16 Mg 0.938 0.750 0.450
17 Ga 0.035 0.250 0.969
18 Ga 0.112 0.250 0.777
19 Ga 0.135 0.750 0.433
20 Ga 0.211 0.750 0.240
21 Ga 0.289 0.250 0.740
22 Ga 0.365 0.250 0.933
23 Ga 0.388 0.750 0.277
24 Ga 0.465 0.750 0.469
25 Ga 0.535 0.250 0.531
26 Ga 0.612 0.250 0.723
27 Ga 0.635 0.750 0.067
28 Ga 0.711 0.750 0.260
29 Ga 0.789 0.250 0.760
30 Ga 0.865 0.250 0.567
31 Ga 0.888 0.750 0.223
32 Ga 0.965 0.750 0.031